A plane-wave DFT calculation with PBE was carried out for a relaxed structure of CdFe2RhC.

The structure belongs to space group P4/mmm (No. 123); the cell edges are 3.9017, 3.9017 and 4.1390 Å and the angles 90.00°, 90.00° and 90.00°. The inequivalent atoms are Cd at (0.0000, 0.0000, 0.0000), Fe at (0.0000, 0.5000, 0.5000), Rh at (0.5000, 0.5000, 0.0000) and C at (0.5000, 0.5000, 0.5000).

The size of the total moment is 3.611 μB/cell. The value obtained for the formation energy is 0.10 eV/atom.